(1)
## ZrCuAu4 (GGA-PBE)

Data for ZrCuAu4 after structural relaxation.

Cell and atoms, written as POSCAR:
```
ZrCuAu4
1.0
0.000 3.845 3.845
3.845 0.000 3.845
3.845 3.845 0.000
Zr Cu Au
1 1 4
Cartesian
0.000 0.000 0.000 Zr
1.923 1.923 1.923 Cu
4.805 2.886 2.886 Au
2.886 4.805 2.886 Au
2.886 2.886 4.805 Au
4.805 4.805 4.805 Au
```

Summary:
As for the energy: -4.2983 eV per atom. As for the space group: No. 216. The formation energy is 0.0 eV per formula unit.

***

(2)
## DyAu2 (GGA-PBE)

Data for DyAu2 after structural relaxation.

Cell and atoms, written as POSCAR:
```
DyAu2
1.0
0.000 4.005 4.005
4.005 0.000 4.005
4.005 4.005 0.000
Dy Au
2 4
Cartesian
1.001 1.001 1.001 Dy
7.009 7.009 7.009 Dy
4.005 2.003 2.003 Au
2.003 4.005 2.003 Au
2.003 2.003 4.005 Au
4.005 4.005 4.005 Au
```

Summary:
As for the energy: -4.2490 eV per atom. As for the space group: No. 227. The formation energy is -1.6 eV per formula unit.

***

(3)
## Dy3Au (GGA-PBE)

Data for Dy3Au after structural relaxation.

Cell and atoms, written as POSCAR:
```
Dy3Au
1.0
3.709 0.000 0.000
0.000 5.289 0.000
0.000 0.000 11.270
Dy Au
6 2
Cartesian
0.000 0.000 0.000 Dy
0.000 2.644 2.359 Dy
0.000 2.644 8.911 Dy
1.855 0.000 3.276 Dy
1.855 0.000 7.994 Dy
1.855 2.644 5.635 Dy
0.000 0.000 5.635 Au
1.855 2.644 0.000 Au
```

Summary:
As for the energy: -4.6714 eV per atom. As for the space group: No. 71. The relative energy among the computed polymorphs is 0.00 eV/f.u. The formation energy is -1.6 eV per formula unit.

***

(4)
## Dy2Au3 (GGA-PBE)

Data for Dy2Au3 after structural relaxation.

Cell and atoms, written as POSCAR:
```
Dy2Au3
1.0
-4.999 4.999 4.999
4.999 -4.999 4.999
4.999 4.999 -4.999
Dy Au
8 12
Cartesian
2.886 2.113 -2.113 Dy
5.385 -0.386 0.386 Dy
2.113 -2.113 2.886 Dy
2.113 2.113 2.113 Dy
-2.113 2.886 2.113 Dy
0.386 5.385 -0.386 Dy
-0.386 0.386 5.385 Dy
4.613 4.613 4.613 Dy
2.500 0.148 0.000 Au
4.999 2.500 -0.148 Au
0.148 0.000 2.500 Au
7.350 0.000 2.500 Au
0.000 2.500 0.148 Au
2.500 -0.148 4.999 Au
4.999 2.500 2.648 Au
2.500 7.350 0.000 Au
-0.148 4.999 2.500 Au
2.648 4.999 2.500 Au
2.500 2.648 4.999 Au
0.000 2.500 7.350 Au
```

Summary:
As for the energy: -4.4589 eV per atom. As for the space group: No. 220. The relative energy among the computed polymorphs is 1.02 eV/f.u. The formation energy is -3.3 eV per formula unit.

***

(5)
## Dy3Au5 (GGA-PBE)

Data for Dy3Au5 after structural relaxation.

Cell and atoms, written as POSCAR:
```
Dy3Au5
1.0
7.459 0.000 0.000
-3.730 6.460 0.000
0.000 0.000 3.736
Dy Au
3 5
Cartesian
-2.312 4.004 0.000 Dy
1.418 2.456 0.000 Dy
4.624 0.000 0.000 Dy
-0.867 1.501 1.868 Au
1.733 0.000 1.868 Au
0.000 4.307 1.868 Au
3.730 2.153 1.868 Au
2.863 4.959 1.868 Au
```

Summary:
As for the energy: -4.5919 eV per atom. As for the space group: No. 189. The formation energy is -6.5 eV per formula unit.

***

(6)
## DyAu5 (GGA-PBE)

Data for DyAu5 after structural relaxation.

Cell and atoms, written as POSCAR:
```
DyAu5
1.0
4.140 0.000 0.000
0.000 6.439 0.000
0.000 0.000 9.233
Dy Au
2 10
Cartesian
0.000 0.000 0.000 Dy
2.070 3.219 4.616 Dy
0.000 1.450 3.196 Au
0.000 1.450 6.037 Au
0.000 3.219 0.000 Au
0.000 4.988 3.196 Au
0.000 4.988 6.037 Au
2.070 0.000 4.616 Au
2.070 1.769 1.420 Au
2.070 1.769 7.812 Au
2.070 4.669 1.420 Au
2.070 4.669 7.812 Au
```

Summary:
As for the energy: -3.8988 eV per atom. As for the space group: No. 71. The formation energy is -2.4 eV per formula unit.

***

(7)
## Dy5Au (GGA-PBE)

Data for Dy5Au after structural relaxation.

Cell and atoms, written as POSCAR:
```
Dy5Au
1.0
4.577 0.000 0.000
0.000 15.101 0.000
0.000 0.000 4.853
Dy Au
10 2
Cartesian
0.000 0.000 0.000 Dy
0.000 2.394 2.426 Dy
0.000 4.983 0.000 Dy
0.000 10.117 0.000 Dy
0.000 12.707 2.426 Dy
2.289 2.567 0.000 Dy
2.289 5.157 2.426 Dy
2.289 7.550 0.000 Dy
2.289 9.944 2.426 Dy
2.289 12.534 0.000 Dy
0.000 7.550 2.426 Au
2.289 0.000 2.426 Au
```

Summary:
As for the energy: -4.5280 eV per atom. As for the space group: No. 65. The formation energy is -0.9 eV per formula unit.

***

(8)
## Dy14Au51 (GGA-PBE)

Data for Dy14Au51 after structural relaxation.

Cell and atoms, written as POSCAR:
```
Dy14Au51
1.0
12.826 0.000 0.000
-6.413 11.107 0.000
0.000 0.000 9.240
Dy Au
14 51
Cartesian
0.000 0.000 1.838 Dy
0.000 0.000 7.403 Dy
-3.126 7.912 4.620 Dy
-1.136 5.111 0.000 Dy
1.124 4.444 4.620 Dy
-1.418 9.535 0.000 Dy
4.242 1.244 4.620 Dy
3.893 3.573 0.000 Dy
2.554 7.568 0.000 Dy
2.002 9.859 4.620 Dy
7.785 1.585 0.000 Dy
5.370 6.812 4.620 Dy
7.560 5.949 0.000 Dy
9.627 3.051 4.620 Dy
-5.419 9.814 4.620 Au
-4.490 9.076 0.000 Au
-0.720 2.924 2.541 Au
-0.720 2.924 6.699 Au
-2.909 7.263 1.489 Au
-2.909 7.263 7.751 Au
0.623 1.508 4.620 Au
-1.629 5.455 3.214 Au
-1.629 5.455 6.026 Au
0.798 2.681 0.000 Au
-3.521 10.269 2.541 Au
-3.521 10.269 6.699 Au
2.611 0.612 0.000 Au
2.290 2.122 2.452 Au
2.290 2.122 6.788 Au
0.000 7.405 1.667 Au
0.000 7.405 4.620 Au
0.000 7.405 7.573 Au
1.578 4.957 1.489 Au
1.578 4.957 7.751 Au
-0.874 9.790 3.214 Au
-0.874 9.790 6.026 Au
5.009 1.114 1.480 Au
5.009 1.114 7.760 Au
3.936 4.232 3.224 Au
3.936 4.232 6.016 Au
2.503 6.969 3.214 Au
2.503 6.969 6.026 Au
1.331 9.995 1.489 Au
1.331 9.995 7.751 Au
7.192 1.293 3.224 Au
7.192 1.293 6.016 Au
4.873 6.212 1.480 Au
4.873 6.212 7.760 Au
6.413 3.702 1.688 Au
6.413 3.702 4.620 Au
6.413 3.702 7.552 Au
4.241 9.022 2.541 Au
4.241 9.022 6.699 Au
3.692 10.458 0.000 Au
9.843 0.922 2.452 Au
9.843 0.922 6.788 Au
5.637 8.540 0.000 Au
4.795 10.893 4.620 Au
8.110 5.582 3.224 Au
8.110 5.582 6.016 Au
9.356 3.781 1.480 Au
9.356 3.781 7.760 Au
7.105 8.063 2.452 Au
7.105 8.063 6.788 Au
10.990 1.955 0.000 Au
```

Summary:
As for the energy: -4.1913 eV per atom. As for the space group: No. 174. The formation energy is -40.9 eV per formula unit.

***

(9)
## DyAu4 (GGA-PBE)

Data for DyAu4 after structural relaxation.

Cell and atoms, written as POSCAR:
```
DyAu4
1.0
5.398 0.000 0.000
0.000 5.398 0.000
0.000 0.000 5.398
Dy Au
1 4
Cartesian
0.000 0.000 0.000 Dy
0.000 0.000 2.699 Au
0.000 2.699 0.000 Au
2.699 0.000 0.000 Au
2.699 2.699 2.699 Au
```

Summary:
As for the energy: -2.9029 eV per atom. As for the space group: No. 221. The formation energy is 3.2 eV per formula unit.

***

(10)
## Dy4Au (GGA-PBE)

Data for Dy4Au after structural relaxation.

Cell and atoms, written as POSCAR:
```
Dy4Au
1.0
5.551 0.000 0.000
0.000 5.551 0.000
0.000 0.000 5.551
Dy Au
4 1
Cartesian
0.000 0.000 0.000 Dy
0.000 2.776 2.776 Dy
2.776 0.000 2.776 Dy
2.776 2.776 0.000 Dy
2.776 2.776 2.776 Au
```

Summary:
As for the energy: -4.3536 eV per atom. As for the space group: No. 221. The formation energy is -0.1 eV per formula unit.

***

(11)
## Dy3Au (GGA-PBE)

Data for Dy3Au after structural relaxation.

Cell and atoms, written as POSCAR:
```
Dy3Au
1.0
6.150 0.000 0.000
3.062 8.518 0.000
3.062 -0.003 8.518
Dy Au
12 4
Cartesian
0.000 0.000 0.000 Dy
3.062 2.442 6.065 Dy
4.734 5.474 6.490 Dy
4.550 7.112 3.039 Dy
4.554 3.845 3.027 Dy
6.137 2.446 8.514 Dy
7.807 5.483 8.093 Dy
4.470 0.419 3.037 Dy
9.205 8.510 6.069 Dy
7.723 5.474 4.668 Dy
7.728 5.485 1.400 Dy
7.543 2.022 3.027 Dy
6.133 7.969 5.530 Au
6.137 7.977 0.543 Au
6.137 2.981 5.523 Au
6.147 2.990 0.535 Au
```

Summary:
As for the energy: -4.6542 eV per atom. As for the space group: No. 1. The relative energy among the computed polymorphs is 0.07 eV/f.u. The formation energy is -1.5 eV per formula unit.

***

(12)
## Dy2Au3 (GGA-PBE)

Data for Dy2Au3 after structural relaxation.

Cell and atoms, written as POSCAR:
```
Dy2Au3
1.0
3.696 0.000 0.000
0.000 3.696 0.000
0.000 0.000 16.232
Dy Au
4 6
Cartesian
0.000 0.000 1.786 Dy
0.000 0.000 14.446 Dy
1.848 1.848 6.330 Dy
1.848 1.848 9.902 Dy
0.000 0.000 4.857 Au
0.000 0.000 8.116 Au
0.000 0.000 11.375 Au
1.848 1.848 0.000 Au
1.848 1.848 3.259 Au
1.848 1.848 12.973 Au
```

Summary:
As for the energy: -4.6636 eV per atom. As for the space group: No. 139. The relative energy among the computed polymorphs is 0.00 eV/f.u. The formation energy is -4.3 eV per formula unit.

***

(13)
## Dy2Au5 (GGA-PBE)

Data for Dy2Au5 after structural relaxation.

Cell and atoms, written as POSCAR:
```
Dy2Au5
1.0
9.697 0.000 0.000
0.000 4.051 0.000
-0.639 0.000 7.382
Dy Au
4 10
Cartesian
0.671 0.000 1.668 Dy
3.538 2.026 5.714 Dy
5.519 2.026 1.668 Dy
8.387 0.000 5.714 Dy
-0.320 2.026 3.691 Au
0.733 2.026 6.876 Au
1.566 0.000 4.694 Au
2.643 2.026 2.688 Au
3.476 0.000 0.507 Au
4.529 0.000 3.691 Au
5.581 0.000 6.876 Au
6.415 2.026 4.694 Au
7.491 0.000 2.688 Au
8.324 2.026 0.507 Au
```

Summary:
As for the energy: -4.3909 eV per atom. As for the space group: No. 12. The formation energy is -5.1 eV per formula unit.

***

(14)
## DyAu5 (GGA-PBE)

Data for DyAu5 after structural relaxation.

Cell and atoms, written as POSCAR:
```
DyAu5
1.0
9.503 0.000 0.000
0.000 4.175 0.000
-1.831 0.000 5.926
Dy Au
2 10
Cartesian
0.000 0.000 0.000 Dy
4.752 2.088 0.000 Dy
-0.916 0.000 2.963 Au
0.947 2.088 2.001 Au
0.067 2.088 4.897 Au
2.853 0.000 1.029 Au
1.974 0.000 3.924 Au
3.836 2.088 2.963 Au
5.698 0.000 2.001 Au
4.819 0.000 4.897 Au
7.604 2.088 1.029 Au
6.725 2.088 3.924 Au
```

Summary:
As for the energy: -3.9297 eV per atom. As for the space group: No. 12. The formation energy is -2.6 eV per formula unit.

***

(15)
## DyAu (GGA-PBE)

Data for DyAu after structural relaxation.

Cell and atoms, written as POSCAR:
```
DyAu
1.0
3.599 0.000 0.000
0.000 3.599 0.000
0.000 0.000 3.599
Dy Au
1 1
Cartesian
0.000 0.000 0.000 Dy
1.799 1.799 1.799 Au
```

Summary:
As for the energy: -4.7992 eV per atom. As for the space group: No. 221. The formation energy is -1.7 eV per formula unit.

***

(16)
## Dy3Au (GGA-PBE)

Data for Dy3Au after structural relaxation.

Cell and atoms, written as POSCAR:
```
Dy3Au
1.0
3.595 0.000 0.000
0.000 3.675 0.000
0.000 0.000 9.255
Dy Au
3 1
Cartesian
0.000 0.000 0.000 Dy
0.000 1.837 3.039 Dy
1.797 1.837 6.788 Dy
1.797 0.000 4.414 Au
```

Summary:
As for the energy: -4.4828 eV per atom. As for the space group: No. 25. The relative energy among the computed polymorphs is 0.75 eV/f.u. The formation energy is -0.8 eV per formula unit.

***

(17)
## Dy5Au6 (GGA-PBE)

Data for Dy5Au6 after structural relaxation.

Cell and atoms, written as POSCAR:
```
Dy5Au6
1.0
-2.478 3.669 7.491
2.478 -3.669 7.491
2.478 3.669 -7.491
Dy Au
5 6
Cartesian
0.000 0.000 0.000 Dy
2.478 0.000 2.579 Dy
0.000 0.000 5.301 Dy
0.000 0.000 9.680 Dy
0.000 3.669 4.912 Dy
2.478 -1.974 4.818 Au
2.478 1.626 0.000 Au
0.000 1.695 2.673 Au
2.478 1.974 4.818 Au
0.000 2.043 7.491 Au
0.000 5.644 2.673 Au
```

Summary:
As for the energy: -4.6379 eV per atom. As for the space group: No. 71. The formation energy is -8.3 eV per formula unit.

***

(18)
## DyAu2 (GGA-PBE)

Data for DyAu2 after structural relaxation.

Cell and atoms, written as POSCAR:
```
DyAu2
1.0
3.748 0.000 0.000
0.000 3.748 0.000
0.000 0.000 9.076
Dy Au
2 4
Cartesian
0.000 0.000 0.000 Dy
1.874 1.874 4.538 Dy
0.000 0.000 3.044 Au
0.000 0.000 6.032 Au
1.874 1.874 1.494 Au
1.874 1.874 7.582 Au
```

Summary:
As for the energy: -4.5840 eV per atom. As for the space group: No. 139. The formation energy is -2.6 eV per formula unit.

***

(19)
## DyErAu (GGA-PBE)

Data for DyErAu after structural relaxation.

Cell and atoms, written as POSCAR:
```
DyErAu
1.0
7.001 0.000 0.000
0.000 7.001 0.000
0.000 0.000 7.001
Dy Er Au
4 4 4
Cartesian
0.000 0.000 0.000 Dy
0.000 3.500 3.500 Dy
3.500 0.000 3.500 Dy
3.500 3.500 0.000 Dy
0.000 0.000 3.500 Er
0.000 3.500 0.000 Er
3.500 0.000 0.000 Er
3.500 3.500 3.500 Er
1.750 1.750 5.250 Au
1.750 5.250 1.750 Au
5.250 1.750 1.750 Au
5.250 5.250 5.250 Au
```

Summary:
As for the energy: -4.6064 eV per atom. As for the space group: No. 216. The relative energy among the computed polymorphs is 0.57 eV/f.u. The formation energy is -1.4 eV per formula unit.

***

(20)
## Dy4Er3Au4 (GGA-PBE)

Data for Dy4Er3Au4 after structural relaxation.

Cell and atoms, written as POSCAR:
```
Dy4Er3Au4
1.0
-1.870 4.544 8.488
1.870 -4.544 8.488
1.870 4.544 -8.488
Dy Er Au
4 3 4
Cartesian
1.870 -2.848 5.738 Dy
0.000 1.696 2.750 Dy
1.870 2.848 5.738 Dy
0.000 7.393 2.750 Dy
1.870 0.000 0.000 Er
0.000 0.000 6.760 Er
0.000 0.000 10.216 Er
1.870 0.000 4.334 Au
0.000 2.864 0.000 Au
0.000 6.224 0.000 Au
0.000 4.544 4.154 Au
```

Summary:
As for the energy: -4.6861 eV per atom. As for the space group: No. 71. The formation energy is -6.3 eV per formula unit.

***

(21)
## Dy2ErAu3 (GGA-PBE)

Data for Dy2ErAu3 after structural relaxation.

Cell and atoms, written as POSCAR:
```
Dy2ErAu3
1.0
5.070 0.000 0.000
-2.535 4.390 0.000
0.000 0.000 6.244
Dy Er Au
2 1 3
Cartesian
0.000 2.927 1.048 Dy
2.535 1.463 5.196 Dy
0.000 0.000 3.122 Er
0.000 0.000 0.000 Au
0.000 2.927 4.148 Au
2.535 1.463 2.096 Au
```

Summary:
As for the energy: -4.8033 eV per atom. As for the space group: No. 164. The relative energy among the computed polymorphs is 0.01 eV/f.u. The formation energy is -5.2 eV per formula unit.

***

(22)
## DyErAu (GGA-PBE)

Data for DyErAu after structural relaxation.

Cell and atoms, written as POSCAR:
```
DyErAu
1.0
7.100 0.000 0.000
0.000 4.939 0.000
0.000 0.000 8.890
Dy Er Au
4 4 4
Cartesian
0.096 1.235 1.570 Dy
3.454 3.704 6.016 Dy
3.646 1.235 2.875 Dy
7.004 3.704 7.320 Dy
1.056 1.235 5.160 Er
2.494 3.704 0.715 Er
4.605 1.235 8.176 Er
6.044 3.704 3.731 Er
1.733 1.235 8.012 Au
1.817 3.704 3.567 Au
5.283 1.235 5.323 Au
5.366 3.704 0.878 Au
```

Summary:
As for the energy: -4.7966 eV per atom. As for the space group: No. 62. The relative energy among the computed polymorphs is 0.00 eV/f.u. The formation energy is -1.9 eV per formula unit.